[1]
! LiEr2RhO6 (PBE, optimized geometry); values from VASP
&SYSTEM
  ibrav = 0, nat = 20, ntyp = 4
/
ATOMIC_SPECIES
Li 6.94 Li.upf
Rh 102.91 Rh.upf
O 16.00 O.upf
Er 167.26 Er.upf
CELL_PARAMETERS angstrom
5.251 0.000 0.037
0.000 5.695 0.000
0.100 0.000 7.552
ATOMIC_POSITIONS angstrom
Li 0.050 2.848 3.776
Rh 0.000 2.848 0.000
O 0.910 1.155 0.503
O 4.611 3.109 1.898
O 2.035 5.434 5.655
Rh 2.676 0.000 3.795
Li 2.626 0.000 0.019
Er 2.826 3.326 5.714
O 3.586 1.693 4.298
O 3.712 1.806 7.138
O 4.441 4.540 7.086
O 1.639 3.889 0.451
O 4.315 4.654 4.246
O 3.316 0.262 1.934
Er 5.200 0.479 5.669
O 0.740 2.586 5.691
O 1.765 4.002 3.291
Er 0.151 5.217 1.920
Er 2.525 2.369 1.875
O 1.036 1.042 3.343
! SG = P2_1/c, No. 14
! calculated density = 7.9 g/cm³
! formation energy from raw total energies = -2328 meV/atom
! spin magnetization = 3.99 μB per cell
! DFT total energy = -0.2625 Ha/atom

---

[2]
! Nd2PaSb (PBE, optimized geometry); values from VASP
&SYSTEM
  ibrav = 0, nat = 4, ntyp = 3
/
ATOMIC_SPECIES
Nd 144.24 Nd.upf
Sb 121.76 Sb.upf
Pa 231.04 Pa.upf
CELL_PARAMETERS angstrom
-4.528 0.220 0.902
0.950 -0.213 4.824
0.271 4.911 0.164
ATOMIC_POSITIONS angstrom
Nd 0.475 -0.107 2.412
Sb -2.264 0.110 0.451
Nd 0.136 2.455 0.082
Pa -1.653 2.459 2.944
! SG = P4/mmm, No. 123
! calculated density = 9.5 g/cm³
! distance to the lowest polymorph of the same formula = 0 meV per atom
! formation energy from raw total energies = -291 meV/atom
! spin magnetization = 0.00 μB per cell
! DFT total energy = -0.2234 Ha/atom

---

[3]
! La2MgBi3Rh4 (PBE, optimized geometry); values from VASP
&SYSTEM
  ibrav = 0, nat = 10, ntyp = 4
/
ATOMIC_SPECIES
Rh 102.91 Rh.upf
La 138.91 La.upf
Bi 208.98 Bi.upf
Mg 24.30 Mg.upf
CELL_PARAMETERS angstrom
-3.299 -2.665 1.536
2.106 -0.316 3.976
-5.616 9.081 3.697
ATOMIC_POSITIONS angstrom
Rh -1.007 3.173 3.344
La -3.065 0.957 1.700
Bi 0.304 1.054 2.481
Rh 0.000 0.000 0.000
Rh -0.596 -1.491 2.756
Rh -5.206 4.417 3.109
Mg -3.404 3.050 4.604
La -3.147 6.634 4.753
Bi -6.516 6.537 3.971
Bi -2.808 4.541 1.848
! SG = P-4m2, No. 115
! calculated density = 9.7 g/cm³
! spin magnetization = 0.00 μB per cell
! E_form = -0.559 eV per atom
! DFT total energy = -0.2135 Ha/atom

---

[4]
! Mg2IrCSe (PBE, optimized geometry); values from VASP
&SYSTEM
  ibrav = 0, nat = 5, ntyp = 4
/
ATOMIC_SPECIES
Mg 24.30 Mg.upf
Ir 192.22 Ir.upf
Se 78.96 Se.upf
C 12.01 C.upf
CELL_PARAMETERS angstrom
-3.502 2.537 1.562
-2.464 -1.111 -3.719
-1.410 -3.090 1.857
ATOMIC_POSITIONS angstrom
Mg -1.232 -0.556 -1.860
Ir -0.705 -1.545 0.929
Se -3.688 -0.832 -0.150
Mg -1.751 1.269 0.781
C 0.000 0.000 0.000
! SG = P4/mmm, No. 123
! calculated density = 6.7 g/cm³
! formation energy from raw total energies = -125 meV/atom
! spin magnetization = 0.00 μB per cell
! DFT total energy = -0.1866 Ha/atom